[1]
VASP calculation (PBE-GGA) on a relaxed Ce2SmScTe4 crystal.

Cell: 7.6095 4.3604 7.6968 Å, 90.00 108.93 90.00°
Space group P2/m (No. 10)
Symmetry-distinct sites (fractional):
Ce 0.0000 0.0000 0.0000 x1
Ce 0.5000 0.5000 0.0000 x1
Sm 0.0000 0.5000 0.5000 x1
Sc 0.5000 0.0000 0.5000 x1
Te 0.2565 0.0000 0.7390 x2
Te 0.2662 0.5000 0.2683 x2

Output
The uncorrected formation energy is -1.30 eV/atom.

=====

[2]
VASP calculation (PBE-GGA) on a relaxed Ce2Sm3ScTe6 crystal.

Cell: 19.2763 4.3886 8.8981 Å, 90.00 103.81 90.00°
Space group C2/m (No. 12)
Symmetry-distinct sites (fractional):
Ce 0.1668 0.0000 0.3353 x4
Sm 0.0000 0.5000 0.5000 x2
Sm 0.1713 0.0000 0.8362 x4
Sc 0.0000 0.5000 0.0000 x2
Te 0.0027 0.0000 0.7656 x4
Te 0.1592 0.5000 0.0781 x4
Te 0.1655 0.5000 0.5866 x4

Output
The uncorrected formation energy is -1.32 eV/atom.

=====

[3]
VASP calculation (PBE-GGA) on a relaxed CeSmTmSc crystal.

Cell: 7.8194 7.8194 7.8194 Å, 90.00 90.00 90.00°
Space group F-43m (No. 216)
Symmetry-distinct sites (fractional):
Ce 0.0000 0.0000 0.0000 x4
Sm 0.0000 0.0000 0.5000 x4
Tm 0.2500 0.2500 0.7500 x4
Sc 0.2500 0.2500 0.2500 x4

Output
For the formation energy from the elements, the calculation gives 0.129 eV per atom.

=====

no.,magnetization (μB/f.u.)
1,2.5
2,2.5
3,0.5